P.
# Zn2PdPt6

An optimized crystal structure of Zn2PdPt6 (PBE, Alexandria via LeMat-Bulk).

## Properties
Volume in Å³ per cell: 275

a b c (Å): 4.8012 8.4739 6.7584
angles (deg): 90.00 90.18 90.00
Closest atoms and distances in Å follow each position.
Space group C2/m (No. 12)
Symmetry-distinct sites (fractional):
Zn 0.1734 0.0000 0.1722  1 Pd 2.71, 10 Pt 2.74-2.87, 1 Zn 2.86
Pd 0.0000 0.5000 0.5000  2 Zn 2.71, 10 Pt 2.78-2.83
Pt 0.0000 0.1659 0.5000  2 Zn 2.75, 7 Pt 2.76-2.84, 3 Pd 2.78-2.83
Pt 0.1758 0.3381 0.1616  4 Zn 2.74-2.87, 7 Pt 2.74-2.84, 1 Pd 2.80

Q.
# Zn2PdPt6

An optimized crystal structure of Zn2PdPt6 (PBE, Alexandria via LeMat-Bulk).

## Properties
Volume in Å³ per cell: 281

a b c (Å): 13.1465 2.7472 9.3159
angles (deg): 90.00 123.27 90.00
Closest atoms and distances in Å follow each position.
Space group C2/m (No. 12)
Symmetry-distinct sites (fractional):
Zn 0.1604 0.0000 0.2962  7 Pt 2.59-2.84, 2 Zn 2.75, 2 Pd 2.75
Pd 0.0000 0.5000 0.0000  4 Pt 2.64-2.71, 2 Pd 2.75, 4 Zn 2.75
Pt 0.0442 0.5000 0.7481  1 Pd 2.71, 9 Pt 2.75-2.98, 2 Zn 2.84
Pt 0.1254 0.0000 0.5444  3 Zn 2.59-2.73, 5 Pt 2.67-2.76
Pt 0.2333 0.5000 0.1135  1 Pd 2.64, 8 Pt 2.67-2.91, 2 Zn 2.74

Of them, P has the highest stability.

P.
# Zn2PdPt

An optimized crystal structure of Zn2PdPt (PBE, Alexandria via LeMat-Bulk).

## Properties
Volume in Å³ per cell: 58

a b c (Å): 4.1080 4.1080 3.4364
angles (deg): 90.00 90.00 90.00
Closest atoms and distances in Å follow each position.
Space group P4/mmm (No. 123)
Symmetry-distinct sites (fractional):
Zn 0.0000 0.5000 0.0000  4 Pd 2.68, 4 Pt 2.68, 4 Zn 2.90
Pd 0.0000 0.0000 0.5000  8 Zn 2.68, 4 Pt 2.90
Pt 0.5000 0.5000 0.5000  8 Zn 2.68, 4 Pd 2.90

Q.
# Zn2PdPt

An optimized crystal structure of Zn2PdPt (PBE, Alexandria via LeMat-Bulk).

## Properties
Volume in Å³ per cell: 199

a b c (Å): 4.2487 4.2487 12.7223
angles (deg): 90.00 90.00 120.00
Closest atoms and distances in Å follow each position.
Space group R3m (No. 160, hexagonal axes)
Symmetry-distinct sites (fractional):
Zn 0.0000 0.0000 0.0000  1 Zn 2.61, 4 Pd 2.70-2.90, 3 Pt 2.72
Zn 0.0000 0.0000 0.2049  3 Pt 2.50, 1 Zn 2.61, 3 Pd 2.67
Pd 0.0000 0.0000 0.7879  7 Zn 2.67-2.90, 4 Pt 2.72-2.89
Pt 0.0000 0.0000 0.5743  6 Zn 2.50-2.72, 1 Pd 2.72

R.
# Zn2PdPt

An optimized crystal structure of Zn2PdPt (PBE, Alexandria via LeMat-Bulk).

## Properties
Volume in Å³ per cell: 363

a b c (Å): 5.6777 5.6777 11.2577
angles (deg): 90.00 90.00 90.00
Closest atoms and distances in Å follow each position.
Space group I-42d (No. 122)
Symmetry-distinct sites (fractional):
Zn 0.2448 0.2500 0.1250  2 Pt 2.43, 2 Pd 2.47
Pd 0.0000 0.0000 0.5000  4 Zn 2.47
Pt 0.0000 0.0000 0.0000  4 Zn 2.43

Of them, P has the highest stability.

P.
# Zn2PdPt

An optimized crystal structure of Zn2PdPt (PBE, Alexandria via LeMat-Bulk).

## Properties
Volume in Å³ per cell: 58

a b c (Å): 2.9011 2.9011 6.8943
angles (deg): 90.00 90.00 90.00
Closest atoms and distances in Å follow each position.
Space group P4/mmm (No. 123)
Symmetry-distinct sites (fractional):
Zn 0.0000 0.0000 0.2485  4 Pd 2.67, 4 Pt 2.69, 4 Zn 2.90
Pd 0.5000 0.5000 0.0000  8 Zn 2.67, 4 Pd 2.90
Pt 0.5000 0.5000 0.5000  8 Zn 2.69, 4 Pt 2.90

Q.
# Zn2PdPt

An optimized crystal structure of Zn2PdPt (PBE, Alexandria via LeMat-Bulk).

## Properties
Volume in Å³ per cell: 232

a b c (Å): 6.1479 6.1479 6.1479
angles (deg): 90.00 90.00 90.00
Closest atoms and distances in Å follow each position.
Space group Fm-3m (No. 225)
Symmetry-distinct sites (fractional):
Zn 0.2500 0.2500 0.2500  4 Pd 2.66, 4 Pt 2.66
Pd 0.0000 0.0000 0.0000  8 Zn 2.66
Pt 0.0000 0.0000 0.5000  8 Zn 2.66

Of them, P has the highest stability.